Run one
VASP calculation (PBE-GGA) on a relaxed structure of YAlSb2I.

Summary:
SG ... P4/mmm, No. 123

POSCAR file:
```
YAlSb2I
1.0
-2.793 -2.496 4.498
4.869 -2.934 1.395
1.700 4.514 3.561
I Sb Al Y
1 2 1 1
Direct
0.000 0.000 0.500
0.500 0.000 0.000
0.000 0.500 0.000
0.500 0.500 0.500
0.000 0.000 0.000
```

Run two
VASP calculation (PBE-GGA) on a relaxed structure of YAlSb2I.

Summary:
SG ... P4/mmm, No. 123

POSCAR file:
```
YAlSb2I
1.0
-1.879 -4.090 2.739
0.416 -3.053 -4.274
5.182 -1.382 1.491
Sb Al I Y
2 1 1 1
Direct
0.000 0.500 0.000
0.500 0.000 0.000
0.000 0.000 0.000
0.000 0.000 0.500
0.500 0.500 0.500
```

Least stable = run one

Run one
VASP calculation (PBE-GGA) on a relaxed structure of AlZnSbI2.

Summary:
SG ... P4/mmm, No. 123

POSCAR file:
```
AlZnSbI2
1.0
5.716 0.000 0.000
0.000 5.716 0.000
0.000 0.000 5.227
Zn Al I Sb
1 1 2 1
Direct
0.000 0.000 0.000
0.500 0.500 0.500
0.500 0.000 0.000
0.000 0.500 0.000
0.000 0.000 0.500
```

Run two
VASP calculation (PBE-GGA) on a relaxed structure of AlZnSbI2.

Summary:
SG ... P4/mmm, No. 123

POSCAR file:
```
AlZnSbI2
1.0
-4.532 -0.500 3.234
-1.863 -4.149 -3.251
2.640 -3.642 3.136
Al I Sb Zn
1 2 1 1
Direct
0.000 0.000 0.000
0.500 0.000 0.000
0.000 0.500 0.000
0.000 0.000 0.500
0.500 0.500 0.500
```

Least stable = run one

Run one
VASP calculation (PBE-GGA) on a relaxed structure of ZrAlSb2I.

Summary:
SG ... P4/mmm, No. 123

POSCAR file:
```
ZrAlSb2I
1.0
5.553 0.000 0.000
0.000 5.553 0.000
0.000 0.000 5.920
I Zr Sb Al
1 1 2 1
Direct
0.000 0.000 0.500
0.000 0.000 0.000
0.500 0.000 0.000
0.000 0.500 0.000
0.500 0.500 0.500
```

Run two
VASP calculation (PBE-GGA) on a relaxed structure of ZrAlSb2I.

Summary:
SG ... P4/mmm, No. 123

POSCAR file:
```
ZrAlSb2I
1.0
5.225 0.000 0.000
0.000 5.225 0.000
0.000 0.000 5.406
I Al Sb Zr
1 1 2 1
Direct
0.000 0.000 0.500
0.000 0.000 0.000
0.000 0.500 0.000
0.500 0.000 0.000
0.500 0.500 0.500
```

Least stable = run two

Run one
VASP calculation (PBE-GGA) on a relaxed structure of ScAl2I.

Summary:
SG ... Fm-3m, No. 225

POSCAR file:
```
ScAl2I
1.0
5.030 -0.790 0.798
1.567 -4.099 2.703
2.407 -3.888 -2.378
Sc Al I
1 2 1
Direct
0.000 0.000 0.000
0.750 0.750 0.750
0.250 0.250 0.250
0.500 0.500 0.500
```

Run two
VASP calculation (PBE-GGA) on a relaxed structure of ScAl2I.

Summary:
SG ... I-42d, No. 122

POSCAR file:
```
ScAl2I
1.0
-4.576 -6.236 2.938
6.625 -4.953 -0.196
1.688 -4.813 4.063
Al I Sc
4 2 2
Direct
0.612 0.125 0.250
0.138 0.625 0.250
0.875 0.862 0.750
0.375 0.388 0.750
0.750 0.250 0.500
0.000 0.000 0.000
0.500 0.500 0.000
0.250 0.750 0.500
```

Least stable = run one

Run one
VASP calculation (PBE-GGA) on a relaxed structure of ScAl2I2.

Summary:
SG ... P4/mbm, No. 127

POSCAR file:
```
ScAl2I2
1.0
-3.001 7.041 1.844
-7.274 -2.828 -1.036
-0.158 -1.260 4.555
Al I Sc
4 4 2
Direct
0.366 0.134 0.500
0.134 0.634 0.500
0.866 0.366 0.500
0.634 0.866 0.500
0.827 0.673 0.000
0.173 0.327 0.000
0.673 0.173 0.000
0.327 0.827 0.000
0.500 0.500 0.000
0.000 0.000 0.000
```

Run two
VASP calculation (PBE-GGA) on a relaxed structure of ScAl2I2.

Summary:
SG ... I4/mmm, No. 139

POSCAR file:
```
ScAl2I2
1.0
3.764 0.000 0.000
0.000 3.764 0.000
1.882 1.882 9.706
I Al Sc
2 2 1
Direct
0.591 0.591 0.817
0.409 0.409 0.183
0.250 0.750 0.500
0.750 0.250 0.500
0.000 0.000 0.000
```

Least stable = run one

Run one
VASP calculation (PBE-GGA) on a relaxed structure of ScAlTe2I.

Summary:
SG ... P4/mmm, No. 123

POSCAR file:
```
ScAlTe2I
1.0
5.394 0.000 0.000
0.000 5.394 0.000
0.000 0.000 5.327
I Sc Te Al
1 1 2 1
Direct
0.000 0.000 0.500
0.500 0.500 0.500
0.000 0.500 0.000
0.500 0.000 0.000
0.000 0.000 0.000
```

Run two
VASP calculation (PBE-GGA) on a relaxed structure of ScAlTe2I.

Summary:
SG ... P4/mmm, No. 123

POSCAR file:
```
ScAlTe2I
1.0
-2.059 -4.555 2.422
3.320 0.826 4.376
-4.167 3.239 2.550
Te I Al Sc
2 1 1 1
Direct
0.000 0.500 0.000
0.500 0.000 0.000
0.000 0.000 0.500
0.500 0.500 0.500
0.000 0.000 0.000
```

Least stable = run one